This record from the Alexandria database describes a geometry-optimized La2Pm5Y12 structure. The functional is GGA-PBE.

```
19
Lattice="6.818 0.000 0.000 -1.738 6.955 0.000 -1.373 -3.813 13.621" Properties=species:S:1:pos:R:3 pbc="T T T"
La 0.187 1.094 6.566
La 3.520 2.048 7.055
Pm -0.644 4.650 1.290
Pm -0.667 4.565 6.543
Pm 2.540 3.477 0.000
Pm 4.374 -1.423 7.079
Pm 4.351 -1.508 12.331
Y -2.223 4.197 9.658
Y -1.294 0.768 9.903
Y 0.608 1.050 1.522
Y -0.485 3.104 12.313
Y 1.633 3.429 3.918
Y 2.500 -0.129 4.225
Y 1.207 3.271 9.396
Y 2.074 -0.287 9.704
Y 4.192 0.038 1.308
Y 3.099 2.092 12.099
Y 5.001 2.374 3.718
Y 5.930 -1.055 3.963
```

Summary:
DOS(E_F): 32.9 states/eV/f.u.
Formation energy: 0.10 eV/atom